First-principles (PBE+U) data for AcAlNiO4 after structural relaxation, as listed in the Alexandria database.

CIF file:
```
data_AcAlNiO4
_chemical_formula_sum 'Ac2 Al2 Ni2 O8'
_cell_length_a 5.544
_cell_length_b 5.544
_cell_length_c 7.178
_cell_angle_alpha 90.00
_cell_angle_beta 90.00
_cell_angle_gamma 90.00
_space_group_name_H-M_alt 'I -4'
_space_group_IT_number 82
loop_
_space_group_symop_operation_xyz
'x,y,z'
'y,-x,-z'
'-x,-y,z'
'-y,x,-z'
'x+1/2,y+1/2,z+1/2'
'y+1/2,-x+1/2,-z+1/2'
'-x+1/2,-y+1/2,z+1/2'
'-y+1/2,x+1/2,-z+1/2'
loop_
_atom_site_label
_atom_site_type_symbol
_atom_site_fract_x
_atom_site_fract_y
_atom_site_fract_z
Ac1 Ac 0.000 0.000 0.000
Al1 Al 0.000 0.500 0.250
Ni1 Ni 0.000 0.000 0.500
O1 O 0.160 0.730 0.369
```

## Properties
The magnetization is 0.286 μB per atom. For the density of states at the Fermi level, the calculation gives 0.894 states/eV/atom. The value obtained for the total energy is -92.547 eV/cell.